# 1
VASP calculation (GGA-PBE) on an optimized crystal structure of Ac2YMgTe5.

Cell lengths 4.5134, 10.0269, 13.7482 Å; angles 90.00, 90.00, 103.01 degrees
With the nearest neighbours (Å) after each atom.
Atoms (fractional coordinates):
Te: 0.0478 0.0955 0.0652  2 Mg 2.75
Te: 0.5043 0.0085 0.2740  1 Mg 2.72
Te: 0.3108 0.6215 0.3552  1 Mg 2.93, 2 Y 3.15
Te: 0.2869 0.5737 0.6677  2 Y 3.10, 3 Ac 3.37-3.38
Te: 0.6409 0.2818 0.5010  1 Y 3.09, 2 Ac 3.43
Te: 0.4957 0.9915 0.7740  1 Mg 2.72
Y: 0.7987 0.5975 0.5140  6 Te 3.08-3.15
Ac: 0.1326 0.2652 0.3094  8 Te 3.37-3.74
Ac: 0.8855 0.7710 0.1854  8 Te 3.38-3.58
Te: 0.6892 0.3785 0.8552  1 Mg 2.93, 2 Y 3.15
Y: 0.2013 0.4025 0.0140  6 Te 3.08-3.15
Te: 0.3591 0.7182 0.0010  1 Y 3.09, 2 Ac 3.43
Ac: 0.8674 0.7348 0.8094  8 Te 3.37-3.74
Te: 0.7131 0.4263 0.1677  2 Y 3.10, 3 Ac 3.37-3.38
Te: 0.9522 0.9045 0.5652  2 Mg 2.75
Mg: 0.5559 0.1118 0.9521  4 Te 2.72-2.93
Mg: 0.4441 0.8882 0.4521  4 Te 2.72-2.93
Ac: 0.1145 0.2290 0.6854  8 Te 3.38-3.58

Output
The space group is Cmc2_1 (36). The value obtained for the density of states at the Fermi level is 0.26 states/eV per atom.

---

# 2
VASP calculation (GGA-PBE) on an optimized crystal structure of PrTiI2.

Cell lengths 3.8480, 3.8480, 10.5393 Å; angles 79.48, 79.48, 60.00 degrees
With the nearest neighbours (Å) after each atom.
Atoms (fractional coordinates):
I: 0.0906 0.0906 0.7281  1 Ti 2.80
Ti: 0.0000 0.0000 0.0000  2 I 2.80
Pr: 0.5000 0.5000 0.5000  6 I 3.23
I: 0.9094 0.9094 0.2719  1 Ti 2.80

Output
The space group is R-3m (166). The value obtained for the density of states at the Fermi level is 1.13 states/eV per atom.

---

# 3
VASP calculation (GGA-PBE) on an optimized crystal structure of Fe2W.

Cell lengths 4.7889, 4.7889, 4.7889 Å; angles 107.20, 107.20, 114.12 degrees
With the nearest neighbours (Å) after each atom.
Atoms (fractional coordinates):
Fe: 0.3583 0.1417 0.5000  1 Fe 2.28, 4 W 2.55
Fe: 0.8583 0.3583 0.2166  1 Fe 2.28, 4 W 2.55
Fe: 0.1417 0.6417 0.7834  1 Fe 2.28, 4 W 2.55
Fe: 0.6417 0.8583 0.5000  1 Fe 2.28, 4 W 2.55
W: 0.7500 0.7500 0.0000  8 Fe 2.55, 2 W 2.60
W: 0.2500 0.2500 0.0000  8 Fe 2.55, 2 W 2.60

Output
The space group is I4/mcm (140). The value obtained for the density of states at the Fermi level is 0.95 states/eV per atom. The formation enthalpy at 0 K is 644 meV per atom.

---

# 4
VASP calculation (GGA-PBE) on an optimized crystal structure of TlSbAu2.

Cell lengths 4.2868, 3.3731, 6.7095 Å; angles 90.00, 90.00, 90.00 degrees
With the nearest neighbours (Å) after each atom.
Atoms (fractional coordinates):
Au: 0.0000 0.2495 0.5268  2 Sb 2.84, 1 Au 3.00, 4 Tl 3.11
Tl: 0.5000 0.7500 0.7500  8 Au 3.11, 2 Tl 3.37
Au: 0.0000 0.2505 0.9732  2 Sb 2.84, 1 Au 3.00, 4 Tl 3.11
Sb: 0.5000 0.2500 0.2500  4 Au 2.84

Output
The space group is Pmmm (47). The value obtained for the energy above the lowest structure with this stoichiometry is 0.430 eV per formula unit. The value obtained for the density of states at the Fermi level is 0.37 states/eV per atom.

---

| no. | total energy (eV/atom) |
| --- | --- |
| 1 | -4.924 |
| 2 | -4.203 |
| 3 | -9.316 |
| 4 | -3.221 |